Entry 1:
A relaxed structure of InNiTeI2, computed with PBE-GGA.

Lattice parameters (Å, degrees): 5.334 5.334 4.974 90.00 90.00 90.00
Positions (direct):
I  0.000  0.500  0.000
I  0.500  0.000  0.000
Ni  0.000  0.000  0.000
Te  0.000  0.000  0.500
In  0.500  0.500  0.500

Summary:
total moment = 0.000 μB/atom
E_form (uncorrected) = 0.03 eV/atom
excess energy over the best structure of this formula in the dataset = 0 meV per atom

***

Entry 2:
A relaxed structure of GdLuZnAu, computed with PBE-GGA.

Lattice parameters (Å, degrees): 5.053 5.053 5.053 60.00 60.00 60.00
Positions (direct):
Gd  0.750  0.750  0.750
Zn  0.000  0.000  0.000
Lu  0.250  0.250  0.250
Au  0.500  0.500  0.500

Summary:
total moment = 1.798 μB/atom
formation enthalpy at 0 K = -229 kJ/mol of formula units

***

Entry 3:
A relaxed structure of K2FeOs, computed with PBE-GGA.

Lattice parameters (Å, degrees): 12.493 12.493 9.105 46.68 46.68 90.00
Positions (direct):
K  0.430  0.125  0.250
K  0.320  0.625  0.250
K  0.375  0.570  0.750
K  0.875  0.680  0.750
Os  0.000  0.000  0.000
Os  0.750  0.250  0.500
Fe  0.500  0.500  0.000
Fe  0.250  0.750  0.500

Summary:
total moment = 0.983 μB/atom
formation enthalpy at 0 K = 516 kJ/mol of formula units
excess energy over the best structure of this formula in the dataset = 564 meV per atom

***

Entry 4:
A relaxed structure of Pu2NbAl, computed with PBE-GGA.

Lattice parameters (Å, degrees): 4.961 4.961 4.963 60.01 60.01 60.00
Positions (direct):
Nb  0.500  0.500  0.500
Al  0.000  0.000  0.000
Pu  0.250  0.250  0.250
Pu  0.750  0.750  0.750

Summary:
total moment = 2.494 μB/atom
formation enthalpy at 0 K = 90 kJ/mol of formula units
excess energy over the best structure of this formula in the dataset = 244 meV per atom

***

Entry 5:
A relaxed structure of AcCe3, computed with PBE-GGA.

Lattice parameters (Å, degrees): 4.952 4.952 4.952 90.00 90.00 90.00
Positions (direct):
Ac  0.000  0.000  0.000
Ce  0.000  0.500  0.500
Ce  0.500  0.000  0.500
Ce  0.500  0.500  0.000

Summary:
total moment = 0.000 μB/atom
formation enthalpy at 0 K = 54 kJ/mol of formula units

***

Entry 6:
A relaxed structure of KP2Se, computed with PBE-GGA.

Lattice parameters (Å, degrees): 4.722 4.195 4.195 90.00 90.00 90.00
Positions (direct):
K  0.500  0.000  0.500
P  0.000  0.000  0.000
P  0.000  0.500  0.500
Se  0.500  0.500  0.000

Summary:
total moment = 0.000 μB/atom
E_form (uncorrected) = 0.45 eV/atom

***

Entry 7:
A relaxed structure of La3Si2Pd6, computed with PBE-GGA.

Lattice parameters (Å, degrees): 8.297 8.297 8.297 109.47 109.47 109.47
Positions (direct):
La  0.714  0.000  0.714
La  0.286  0.000  0.286
La  0.000  0.286  0.286
La  0.000  0.714  0.714
La  0.286  0.286  0.000
La  0.714  0.714  0.000
Si  0.000  0.500  0.000
Si  0.500  0.000  0.000
Si  0.000  0.000  0.500
Si  0.500  0.500  0.500
Pd  0.675  0.350  0.675
Pd  0.675  0.000  0.325
Pd  0.325  0.000  0.675
Pd  0.325  0.650  0.325
Pd  0.000  0.675  0.325
Pd  0.650  0.325  0.325
Pd  0.350  0.675  0.675
Pd  0.000  0.325  0.675
Pd  0.325  0.675  0.000
Pd  0.675  0.675  0.350
Pd  0.325  0.325  0.650
Pd  0.675  0.325  0.000

Summary:
total moment = 0.000 μB/atom
E_form (uncorrected) = -0.83 eV/atom

***

Entry 8:
A relaxed structure of LaSb2Os, computed with PBE-GGA.

Lattice parameters (Å, degrees): 6.170 6.170 6.170 148.50 126.29 63.61
Positions (direct):
La  0.250  0.750  0.500
Os  0.750  0.250  0.500
Sb  0.952  0.952  0.000
Sb  0.548  0.548  0.000

Summary:
total moment = 0.000 μB/atom
E_form (uncorrected) = -0.15 eV/atom

***

Entry 9:
A relaxed structure of TlTcW2, computed with PBE-GGA.

Lattice parameters (Å, degrees): 5.490 5.341 2.819 82.07 75.81 116.70
Positions (direct):
Tc  0.000  0.500  0.500
Tl  0.500  0.500  0.000
W  0.000  0.000  0.000
W  0.500  0.000  0.500

Summary:
total moment = 0.000 μB/atom
formation enthalpy at 0 K = 310 kJ/mol of formula units
excess energy over the best structure of this formula in the dataset = 255 meV per atom

***

Entry 10:
A relaxed structure of NaBi2O3, computed with PBE-GGA.

Lattice parameters (Å, degrees): 3.738 3.581 7.804 103.26 103.86 90.00
Positions (direct):
Na  0.500  0.348  0.000
Bi  0.847  0.683  0.694
Bi  0.153  0.989  0.306
O  0.000  0.843  0.000
O  0.340  0.280  0.680
O  0.660  0.600  0.320

Summary:
total moment = 0.000 μB/atom
E_form (uncorrected) = -1.09 eV/atom

***

Entry 11:
A relaxed structure of CsK4Na6, computed with PBE-GGA.

Lattice parameters (Å, degrees): 6.335 10.746 10.746 120.00 90.00 90.00
Positions (direct):
Cs  0.000  0.333  0.667
K  0.500  0.606  0.553
K  0.500  0.947  0.394
K  0.000  0.000  0.000
K  0.500  0.447  0.053
Na  0.500  0.031  0.799
Na  0.500  0.201  0.232
Na  0.000  0.845  0.564
Na  0.000  0.436  0.281
Na  0.000  0.719  0.155
Na  0.500  0.768  0.969

Summary:
total moment = 0.000 μB/atom
formation enthalpy at 0 K = 46 kJ/mol of formula units

***

Entry 12:
A relaxed structure of LiZr2ScH, computed with PBE-GGA.

Lattice parameters (Å, degrees): 4.417 4.417 4.535 90.00 90.00 90.00
Positions (direct):
Sc  0.000  0.000  0.500
H  0.000  0.000  0.000
Zr  0.000  0.500  0.000
Zr  0.500  0.000  0.000
Li  0.500  0.500  0.500

Summary:
total moment = 0.000 μB/atom
excess energy over the best structure of this formula in the dataset = 35 meV per atom

***

Entry 13:
A relaxed structure of CaTcBr4, computed with PBE-GGA.

Lattice parameters (Å, degrees): 6.390 6.390 6.390 60.00 60.00 60.00
Positions (direct):
Ca  0.750  0.750  0.750
Tc  0.000  0.000  0.000
Br  0.875  0.375  0.375
Br  0.375  0.375  0.875
Br  0.375  0.875  0.375
Br  0.375  0.375  0.375

Summary:
total moment = 1.111 μB/atom
E_form (uncorrected) = 0.55 eV/atom

***

Entry 14:
A relaxed structure of Na2LiGa3Au4, computed with PBE-GGA.

Lattice parameters (Å, degrees): 4.411 4.411 10.805 90.00 90.00 90.00
Positions (direct):
Na  0.500  0.000  0.242
Na  0.000  0.500  0.758
Li  0.500  0.500  0.500
Ga  0.000  0.000  0.500
Ga  0.500  0.000  0.869
Ga  0.000  0.500  0.131
Au  0.500  0.500  0.000
Au  0.000  0.000  0.000
Au  0.500  0.000  0.634
Au  0.000  0.500  0.366

Summary:
total moment = 0.000 μB/atom
formation enthalpy at 0 K = -341 kJ/mol of formula units

***

Entry 15:
A relaxed structure of SrBe6Au12, computed with PBE-GGA.

Lattice parameters (Å, degrees): 7.443 7.443 7.443 109.47 109.47 109.47
Positions (direct):
Sr  0.000  0.000  0.000
Be  0.373  0.500  0.873
Be  0.627  0.500  0.127
Be  0.500  0.873  0.373
Be  0.500  0.127  0.627
Be  0.873  0.373  0.500
Be  0.127  0.627  0.500
Au  0.316  0.140  0.824
Au  0.316  0.492  0.176
Au  0.684  0.508  0.824
Au  0.684  0.860  0.176
Au  0.140  0.824  0.316
Au  0.492  0.176  0.316
Au  0.508  0.824  0.684
Au  0.860  0.176  0.684
Au  0.824  0.316  0.140
Au  0.176  0.316  0.492
Au  0.824  0.684  0.508
Au  0.176  0.684  0.860

Summary:
total moment = 0.000 μB/atom
formation enthalpy at 0 K = -86 kJ/mol of formula units

***

Entry 16:
A relaxed structure of GdZr2Ti, computed with PBE-GGA.

Lattice parameters (Å, degrees): 3.207 3.207 10.664 81.35 81.35 60.00
Positions (direct):
Gd  0.500  0.500  0.500
Zr  0.258  0.258  0.227
Zr  0.742  0.742  0.773
Ti  0.000  0.000  0.000

Summary:
total moment = 1.819 μB/atom
formation enthalpy at 0 K = 65 kJ/mol of formula units
excess energy over the best structure of this formula in the dataset = 65 meV per atom

***

Entry 17:
A relaxed structure of Na3Pu3TeS8, computed with PBE-GGA.

Lattice parameters (Å, degrees): 8.068 8.068 8.113 119.82 90.00 120.00
Positions (direct):
Na  0.000  0.000  0.000
Na  0.000  0.500  0.000
Na  0.500  0.500  0.000
Pu  0.500  0.000  0.500
Pu  0.500  0.500  0.500
Pu  0.000  0.500  0.500
Te  0.000  0.000  0.500
S  0.259  0.518  0.277
S  0.741  0.482  0.723
S  0.765  0.530  0.280
S  0.235  0.470  0.720
S  0.766  0.015  0.280
S  0.234  0.985  0.720
S  0.249  0.015  0.280
S  0.751  0.985  0.720

Summary:
total moment = 1.000 μB/atom
E_form (uncorrected) = -1.22 eV/atom

***

Entry 18:
A relaxed structure of MgTi2In, computed with PBE-GGA.

Lattice parameters (Å, degrees): 3.519 3.519 6.138 90.00 90.00 90.00
Positions (direct):
Mg  0.500  0.500  0.500
Ti  0.000  0.000  0.747
Ti  0.000  0.000  0.253
In  0.500  0.500  0.000

Summary:
total moment = 0.000 μB/atom
formation enthalpy at 0 K = 25 kJ/mol of formula units

***

Entry 19:
A relaxed structure of Ac2Pr5Ho, computed with PBE-GGA.

Lattice parameters (Å, degrees): 5.309 7.499 15.044 90.00 90.00 90.00
Positions (direct):
Ac  0.500  0.247  0.624
Ac  0.500  0.753  0.376
Ac  0.500  0.253  0.124
Ac  0.500  0.747  0.876
Pr  0.000  0.000  0.000
Pr  0.000  0.500  0.500
Pr  0.000  0.497  0.752
Pr  0.000  0.503  0.248
Pr  0.000  0.003  0.252
Pr  0.000  0.997  0.748
Pr  0.500  0.249  0.876
Pr  0.500  0.751  0.124
Pr  0.500  0.251  0.376
Pr  0.500  0.749  0.624
Ho  0.000  0.000  0.500
Ho  0.000  0.500  0.000

Summary:
total moment = 0.000 μB/atom
formation enthalpy at 0 K = 19 kJ/mol of formula units
excess energy over the best structure of this formula in the dataset = 0 meV per atom

***

Entry 20:
A relaxed structure of NaLiRh3, computed with PBE-GGA.

Lattice parameters (Å, degrees): 4.260 4.260 4.260 90.00 90.00 90.00
Positions (direct):
Na  0.500  0.500  0.500
Rh  0.000  0.500  0.000
Rh  0.000  0.000  0.500
Rh  0.500  0.000  0.000
Li  0.000  0.000  0.000

Summary:
total moment = 0.000 μB/atom
formation enthalpy at 0 K = 355 kJ/mol of formula units
excess energy over the best structure of this formula in the dataset = 0 meV per atom